1.
Here is TiMn3O8 at its PBEsol-relaxed geometry from Alexandria via LeMat-Bulk. Energies are from meta-GGA SCAN.

Cell: 5.667 5.667 5.776 Å, 60.62 60.62 60.00°
Each line ends with the local moment (μB).
Element x y z (fractional)
O  0.210  0.759  0.273  0.05
Mn  0.500  0.000  0.500  2.80
O  0.759  0.210  0.273  0.05
Mn  0.000  0.000  0.500  2.80
O  0.241  0.790  0.727  0.05
O  0.241  0.241  0.727  0.05
O  0.766  0.766  0.702  0.05
Ti  0.000  0.000  0.000  0.05
O  0.759  0.759  0.273  0.05
O  0.234  0.234  0.298  0.05
O  0.790  0.241  0.727  0.05
Mn  0.000  0.500  0.500  2.80

Results
Formation energy (no corrections) ... -2.29 eV per atom
E above lowest polymorph ... 5 meV/atom
Symmetry ... R-3m (166)
E_tot ... -148.14 eV per formula unit
Size of the total moment ... 8.99 μB/f.u.

***

2.
Here is TiMnV4O12 at its PBEsol-relaxed geometry from Alexandria via LeMat-Bulk. Energies are from meta-GGA SCAN.

Cell: 5.708 6.724 6.724 Å, 84.17 75.16 75.16°
Each line ends with the local moment (μB).
Element x y z (fractional)
O  0.131  0.182  0.037  -0.03
O  0.392  0.814  0.963  -0.04
O  0.994  0.619  0.080  -0.01
V  0.501  0.612  0.795  0.71
O  0.297  0.658  0.630  -0.04
O  0.703  0.370  0.342  -0.04
O  0.481  0.093  0.634  -0.04
V  0.499  0.205  0.388  0.71
O  0.519  0.366  0.907  -0.04
O  0.800  0.624  0.651  -0.04
Mn  0.000  0.912  0.088  4.25
V  0.004  0.389  0.204  0.56
V  0.996  0.796  0.611  0.56
Ti  0.500  0.090  0.910  0.32
O  0.608  0.037  0.186  -0.04
O  0.869  0.963  0.818  -0.03
O  0.200  0.349  0.376  -0.04
O  0.006  0.920  0.381  -0.01

Results
Formation energy (no corrections) ... -2.61 eV per atom
Symmetry ... C2 (5)
E_tot ... -226.03 eV per formula unit
Size of the total moment ... 7.00 μB/f.u.